[1]
This record from the Alexandria database describes an optimized crystal structure of Pr2Sc3Te6. The functional is PBE.

Unit cell a=7.418 b=7.397 c=7.532 alpha=80.46 beta=70.69 gamma=59.91
Fractional coordinates of all 11 atoms:
Te (0.093, 0.319, 0.767)
Te (0.412, 0.681, 0.767)
Te (0.729, 0.000, 0.772)
Te (0.907, 0.681, 0.233)
Te (0.271, 0.000, 0.228)
Te (0.588, 0.319, 0.233)
Pr (0.836, 0.328, 0.500)
Pr (0.164, 0.672, 0.500)
Sc (0.327, 0.346, 0.000)
Sc (0.000, 0.000, 0.000)
Sc (0.673, 0.654, 0.000)

## Properties
ΔE_f (raw) = -1.3089 eV/atom
Calculated volume = 30.7 Å³ per atom
Raw total energy = -0.2065 Ha/atom
N(E_F) = 6.41 states/eV/cell

[2]
This record from the Alexandria database describes an optimized crystal structure of PrSc2Tl3Te6. The functional is PBE.

Unit cell a=7.583 b=7.583 c=8.528 alpha=98.55 beta=98.55 gamma=119.89
Fractional coordinates of all 12 atoms:
Tl (0.841, 0.159, 0.500)
Tl (0.500, 0.500, 0.500)
Tl (0.159, 0.841, 0.500)
Te (0.425, 0.070, 0.211)
Te (0.575, 0.930, 0.789)
Te (0.070, 0.425, 0.211)
Te (0.713, 0.713, 0.204)
Te (0.930, 0.575, 0.789)
Te (0.287, 0.287, 0.796)
Sc (0.668, 0.332, 0.000)
Sc (0.332, 0.668, 0.000)
Pr (0.000, 0.000, 0.000)

## Properties
ΔE_f (raw) = -0.9644 eV/atom
Calculated volume = 33.8 Å³ per atom
Raw total energy = -0.1683 Ha/atom

[3]
This record from the Alexandria database describes an optimized crystal structure of Pr3ScTl3Te8. The functional is PBE.

Unit cell a=8.989 b=8.991 c=9.671 alpha=117.72 beta=90.00 gamma=119.99
Fractional coordinates of all 15 atoms:
Te (0.773, 0.546, 0.287)
Te (0.227, 0.986, 0.713)
Te (0.773, 0.014, 0.287)
Te (0.759, 0.986, 0.713)
Te (0.258, 0.515, 0.273)
Te (0.227, 0.454, 0.713)
Te (0.742, 0.485, 0.727)
Te (0.241, 0.014, 0.287)
Pr (0.500, 0.000, 0.500)
Pr (0.000, 0.500, 0.500)
Pr (0.500, 0.500, 0.500)
Tl (0.000, 0.000, 0.000)
Tl (0.000, 0.500, 0.000)
Tl (0.500, 0.500, 0.000)
Sc (0.000, 0.000, 0.500)

## Properties
ΔE_f (raw) = -1.0254 eV/atom
Calculated volume = 38.1 Å³ per atom
Raw total energy = -0.1673 Ha/atom
N(E_F) = 6.75 states/eV/cell

[4]
This record from the Alexandria database describes an optimized crystal structure of Pr2ScTl3Te6. The functional is PBE.

Unit cell a=7.786 b=7.786 c=8.553 alpha=98.76 beta=98.76 gamma=119.94
Fractional coordinates of all 12 atoms:
Te (0.240, 0.240, 0.781)
Te (0.071, 0.384, 0.213)
Te (0.929, 0.616, 0.787)
Te (0.616, 0.929, 0.787)
Te (0.760, 0.760, 0.219)
Te (0.384, 0.071, 0.213)
Sc (0.000, 0.000, 0.000)
Tl (0.827, 0.173, 0.500)
Tl (0.500, 0.500, 0.500)
Tl (0.173, 0.827, 0.500)
Pr (0.666, 0.334, 0.000)
Pr (0.334, 0.666, 0.000)

## Properties
ΔE_f (raw) = -1.0149 eV/atom
Calculated volume = 35.7 Å³ per atom
Raw total energy = -0.1654 Ha/atom

[5]
This record from the Alexandria database describes an optimized crystal structure of Pr3TmSc3Te8. The functional is PBE.

Unit cell a=8.601 b=8.602 c=8.731 alpha=119.51 beta=90.00 gamma=120.00
Fractional coordinates of all 15 atoms:
Sc (0.500, 0.500, 0.500)
Sc (0.500, 0.000, 0.500)
Sc (0.000, 0.500, 0.500)
Te (0.741, 0.481, 0.722)
Te (0.271, 0.018, 0.266)
Te (0.253, 0.982, 0.734)
Te (0.259, 0.519, 0.278)
Te (0.748, 0.496, 0.266)
Te (0.252, 0.504, 0.734)
Te (0.729, 0.982, 0.734)
Te (0.747, 0.018, 0.266)
Pr (0.000, 0.500, 0.000)
Pr (0.000, 0.000, 0.000)
Pr (0.500, 0.500, 0.000)
Tm (0.000, 0.000, 0.500)

## Properties
ΔE_f (raw) = -1.3182 eV/atom
Calculated volume = 30.7 Å³ per atom
Raw total energy = -0.2026 Ha/atom
N(E_F) = 7.82 states/eV/cell

[6]
This record from the Alexandria database describes an optimized crystal structure of PrTm2ScTe4. The functional is PBE.

Unit cell a=4.269 b=7.580 c=7.529 alpha=108.63 beta=90.00 gamma=90.00
Fractional coordinates of all 8 atoms:
Te (0.000, 0.262, 0.750)
Te (0.000, 0.738, 0.250)
Te (0.500, 0.735, 0.741)
Te (0.500, 0.265, 0.259)
Sc (0.500, 0.500, 0.000)
Pr (0.000, 0.000, 0.000)
Tm (0.500, 0.000, 0.500)
Tm (0.000, 0.500, 0.500)

## Properties
ΔE_f (raw) = -1.2015 eV/atom
Calculated volume = 28.9 Å³ per atom
Raw total energy = -0.1940 Ha/atom
N(E_F) = 5.23 states/eV/cell

Q: ΔE_f (raw) of number 3 (Pr3ScTl3Te8)?
A: -1.0254 eV/atom

Q: raw total energy of number 2 (PrSc2Tl3Te6)?
A: -0.1683 Ha/atom

Please write out number 6 again, unchanged.
This record from the Alexandria database describes an optimized crystal structure of PrTm2ScTe4. The functional is PBE.

Unit cell a=4.269 b=7.580 c=7.529 alpha=108.63 beta=90.00 gamma=90.00
Fractional coordinates of all 8 atoms:
Te (0.000, 0.262, 0.750)
Te (0.000, 0.738, 0.250)
Te (0.500, 0.735, 0.741)
Te (0.500, 0.265, 0.259)
Sc (0.500, 0.500, 0.000)
Pr (0.000, 0.000, 0.000)
Tm (0.500, 0.000, 0.500)
Tm (0.000, 0.500, 0.500)

## Properties
ΔE_f (raw) = -1.2015 eV/atom
Calculated volume = 28.9 Å³ per atom
Raw total energy = -0.1940 Ha/atom
N(E_F) = 5.23 states/eV/cell